Record 1
! GGA-PBE NdRhS, optimized geometry; values from VASP
&SYSTEM
  ibrav = 0, nat = 6, ntyp = 3
/
ATOMIC_SPECIES
S 32.06 S.upf
Rh 102.91 Rh.upf
Nd 144.24 Nd.upf
CELL_PARAMETERS angstrom
3.8195 0.0000 0.0000
0.0000 5.9536 -0.4203
0.0000 -0.9424 5.8935
ATOMIC_POSITIONS crystal
S 0.0000 0.0000 0.0000
S 0.5000 0.5000 0.5000
Rh 0.0000 0.6824 0.6824
Rh 0.0000 0.3176 0.3176
Nd 0.5000 0.2135 0.7865
Nd 0.5000 0.7865 0.2135
! ΔE_f (raw) in eV per formula unit: -2.7
! Volume in Å³ per cell: 132.5

---

Record 2
! GGA-PBE SmTmGe2, optimized geometry; values from VASP
&SYSTEM
  ibrav = 0, nat = 4, ntyp = 3
/
ATOMIC_SPECIES
Sm 150.36 Sm.upf
Tm 168.93 Tm.upf
Ge 72.64 Ge.upf
CELL_PARAMETERS angstrom
4.0510 0.0000 -1.4771
0.0000 3.9879 0.0000
-0.1807 0.0000 5.8037
ATOMIC_POSITIONS crystal
Sm 0.4445 0.5000 0.4277
Tm 0.7199 0.0000 0.9791
Ge 0.1680 0.5000 0.8756
Ge 0.9985 0.0000 0.5356
! Relative energy among the computed polymorphs in kJ per mole of atoms: 0.00
! Volume in Å³ per cell: 92.7
! DFT formation energy in eV/atom: -0.84

---

Record 3
! GGA-PBE PmDySeO2, optimized geometry; values from VASP
&SYSTEM
  ibrav = 0, nat = 10, ntyp = 4
/
ATOMIC_SPECIES
Pm 145.00 Pm.upf
Dy 162.50 Dy.upf
Se 78.96 Se.upf
O 16.00 O.upf
CELL_PARAMETERS angstrom
-0.8621 -0.4075 -3.9564
5.1884 -4.0018 -0.7184
-6.1094 -4.3737 1.7816
ATOMIC_POSITIONS crystal
Pm 0.2500 0.6876 0.9269
Pm 0.7500 0.3124 0.0731
Dy 0.2500 0.6736 0.4182
Dy 0.7500 0.3264 0.5818
Se 0.2500 0.0474 0.7550
Se 0.7500 0.9526 0.2450
O 0.7500 0.5133 0.3848
O 0.2500 0.4867 0.6152
O 0.7500 0.5174 0.8730
O 0.2500 0.4826 0.1270
! ΔE_f (raw) in eV per formula unit: -15.4
! Volume in Å³ per cell: 197.3

---

Record 4
! GGA-PBE TlAg3, optimized geometry; values from VASP
&SYSTEM
  ibrav = 0, nat = 4, ntyp = 2
/
ATOMIC_SPECIES
Tl 204.38 Tl.upf
Ag 107.87 Ag.upf
CELL_PARAMETERS angstrom
-1.4522 0.8423 -2.9779
-3.0862 -0.6302 1.3280
-0.4529 6.6423 2.0996
ATOMIC_POSITIONS crystal
Tl 0.5000 0.5000 0.2500
Ag 0.0000 0.0000 0.9705
Ag 0.5000 0.5000 0.7500
Ag 0.0000 0.0000 0.5295
! Volume in Å³ per cell: 81.6
! DFT formation energy in eV/atom: 0.10

---

Record 5
! GGA-PBE CsRbZn3, optimized geometry; values from VASP
&SYSTEM
  ibrav = 0, nat = 5, ntyp = 3
/
ATOMIC_SPECIES
Cs 132.91 Cs.upf
Zn 65.41 Zn.upf
Rb 85.47 Rb.upf
CELL_PARAMETERS angstrom
6.6426 0.0000 0.0000
0.0000 6.6426 0.0000
0.0000 0.0000 6.6426
ATOMIC_POSITIONS crystal
Cs 0.0000 0.0000 0.0000
Zn 0.0000 0.5000 0.0000
Zn 0.0000 0.0000 0.5000
Zn 0.5000 0.0000 0.0000
Rb 0.5000 0.5000 0.5000
! Relative energy among the computed polymorphs in kJ per mole of atoms: 3.65
! Volume in Å³ per cell: 293.1
! DFT formation energy in eV/atom: 0.54

---

Record 6
! GGA-PBE Bi2SbN, optimized geometry; values from VASP
&SYSTEM
  ibrav = 0, nat = 4, ntyp = 3
/
ATOMIC_SPECIES
Sb 121.76 Sb.upf
Bi 208.98 Bi.upf
N 14.01 N.upf
CELL_PARAMETERS angstrom
-3.8028 2.5505 2.2797
-3.5757 2.3230 -2.8252
-4.7638 -1.8583 -0.1292
ATOMIC_POSITIONS crystal
Sb 0.5000 0.5000 0.5000
Bi 0.2500 0.2500 0.2500
Bi 0.7500 0.7500 0.7500
N 0.0000 0.0000 0.0000
! Relative energy among the computed polymorphs in kJ per mole of atoms: 53.12
! ΔE_f (raw) in eV per formula unit: 4.4
! Volume in Å³ per cell: 94.6

---

Record 7
! GGA-PBE LiPm3Si6Pd2, optimized geometry; values from VASP
&SYSTEM
  ibrav = 0, nat = 12, ntyp = 4
/
ATOMIC_SPECIES
Li 6.94 Li.upf
Pm 145.00 Pm.upf
Si 28.09 Si.upf
Pd 106.42 Pd.upf
CELL_PARAMETERS angstrom
5.8605 0.0000 0.0000
-2.9302 5.0753 0.0000
0.0000 0.0000 8.0781
ATOMIC_POSITIONS crystal
Li 0.0000 0.0000 0.5000
Pm 0.3333 0.6667 0.6205
Pm 0.6667 0.3333 0.3795
Pm 0.0000 0.0000 0.0000
Si 0.6100 0.8050 0.2822
Si 0.1950 0.3900 0.2822
Si 0.1950 0.8050 0.2822
Si 0.8050 0.6100 0.7178
Si 0.3900 0.1950 0.7178
Si 0.8050 0.1950 0.7178
Pd 0.6667 0.3333 0.9715
Pd 0.3333 0.6667 0.0285
! ΔE_f (raw) in eV per formula unit: -5.3
! Volume in Å³ per cell: 240.3

---

Record 8
! GGA-PBE PuSiBRu3, optimized geometry; values from VASP
&SYSTEM
  ibrav = 0, nat = 12, ntyp = 4
/
ATOMIC_SPECIES
Pu 244.00 Pu.upf
Si 28.09 Si.upf
B 10.81 B.upf
Ru 101.07 Ru.upf
CELL_PARAMETERS angstrom
5.7465 0.0000 0.0000
0.0000 5.6909 0.0000
0.0000 -2.8454 5.7394
ATOMIC_POSITIONS crystal
Pu 0.7500 0.2540 0.5079
Pu 0.2500 0.7460 0.4921
Si 0.2500 0.3755 0.7510
Si 0.7500 0.6245 0.2490
B 0.2500 0.9865 0.9731
B 0.7500 0.0135 0.0269
Ru 0.2500 0.1738 0.3476
Ru 0.0000 0.2567 0.0000
Ru 0.5000 0.7433 0.0000
Ru 0.5000 0.2567 0.0000
Ru 0.0000 0.7433 0.0000
Ru 0.7500 0.8262 0.6524
! ΔE_f (raw) in eV per formula unit: -1.9
! Volume in Å³ per cell: 187.7

---

Record 9
! GGA-PBE ScCrPt, optimized geometry; values from VASP
&SYSTEM
  ibrav = 0, nat = 3, ntyp = 3
/
ATOMIC_SPECIES
Cr 52.00 Cr.upf
Pt 195.08 Pt.upf
Sc 44.96 Sc.upf
CELL_PARAMETERS angstrom
-3.2992 1.4824 2.6410
-0.7276 -0.5799 -4.3808
-0.8352 -2.7559 0.5035
ATOMIC_POSITIONS crystal
Cr 0.0000 0.0000 0.0190
Pt 0.6667 0.3333 0.3162
Sc 0.3333 0.6667 0.6648
! Relative energy among the computed polymorphs in kJ per mole of atoms: 4.22
! Volume in Å³ per cell: 50.8
! DFT formation energy in eV/atom: -0.28

---

Record 10
! GGA-PBE SrCr2Cu, optimized geometry; values from VASP
&SYSTEM
  ibrav = 0, nat = 4, ntyp = 3
/
ATOMIC_SPECIES
Cr 52.00 Cr.upf
Cu 63.55 Cu.upf
Sr 87.62 Sr.upf
CELL_PARAMETERS angstrom
4.8749 -0.8236 -0.6378
0.9679 4.8483 0.6378
-2.2255 -3.0226 3.2804
ATOMIC_POSITIONS crystal
Cr 0.0503 0.0503 0.0000
Cr 0.2494 0.7494 0.5000
Cu 0.4506 0.4506 0.0000
Sr 0.7498 0.2498 0.5000
! Relative energy among the computed polymorphs in kJ per mole of atoms: 24.69
! Volume in Å³ per cell: 85.7
! DFT formation energy in eV/atom: 0.68

---

Record 11
! GGA-PBE BeHgW, optimized geometry; values from VASP
&SYSTEM
  ibrav = 0, nat = 3, ntyp = 3
/
ATOMIC_SPECIES
Be 9.01 Be.upf
Hg 200.59 Hg.upf
W 183.84 W.upf
CELL_PARAMETERS angstrom
-1.2481 3.3109 -2.4531
-0.6082 -4.0386 -1.3629
-2.5807 -0.0374 1.2625
ATOMIC_POSITIONS crystal
Be 0.0000 0.0000 0.1663
Hg 0.3333 0.6667 0.1668
W 0.6667 0.3333 0.6669
! Relative energy among the computed polymorphs in kJ per mole of atoms: 22.07
! Volume in Å³ per cell: 46.1
! DFT formation energy in eV/atom: 0.81

---

Record 12
! GGA-PBE RbReSeBr2, optimized geometry; values from VASP
&SYSTEM
  ibrav = 0, nat = 5, ntyp = 4
/
ATOMIC_SPECIES
Re 186.21 Re.upf
Se 78.96 Se.upf
Br 79.90 Br.upf
Rb 85.47 Rb.upf
CELL_PARAMETERS angstrom
5.4606 0.0000 0.0000
0.0000 5.4606 0.0000
0.0000 0.0000 4.7456
ATOMIC_POSITIONS crystal
Re 0.0000 0.0000 0.0000
Se 0.0000 0.0000 0.5000
Br 0.0000 0.5000 0.0000
Br 0.5000 0.0000 0.0000
Rb 0.5000 0.5000 0.5000
! Relative energy among the computed polymorphs in kJ per mole of atoms: 0.00
! ΔE_f (raw) in eV per formula unit: -1.5
! Volume in Å³ per cell: 141.5

---

Record 13
! GGA-PBE Zr4RePd, optimized geometry; values from VASP
&SYSTEM
  ibrav = 0, nat = 6, ntyp = 3
/
ATOMIC_SPECIES
Zr 91.22 Zr.upf
Re 186.21 Re.upf
Pd 106.42 Pd.upf
CELL_PARAMETERS angstrom
3.3600 -0.0006 0.0002
0.0006 3.3600 0.0002
-0.0005 -0.0005 10.5066
ATOMIC_POSITIONS crystal
Zr 0.5000 0.5000 0.8478
Zr 0.5000 0.5000 0.1522
Zr 0.0000 0.0000 0.6598
Zr 0.0000 0.0000 0.3402
Re 0.0000 0.0000 0.0000
Pd 0.5000 0.5000 0.5000
! Relative energy among the computed polymorphs in kJ per mole of atoms: 0.00
! Volume in Å³ per cell: 118.6
! DFT formation energy in eV/atom: -0.30

---

Record 14
! GGA-PBE Mn3Mo, optimized geometry; values from VASP
&SYSTEM
  ibrav = 0, nat = 4, ntyp = 2
/
ATOMIC_SPECIES
Mn 54.94 Mn.upf
Mo 95.94 Mo.upf
CELL_PARAMETERS angstrom
4.7262 -0.0078 0.0047
1.9857 4.2888 -0.0047
-3.0121 -2.6795 2.4666
ATOMIC_POSITIONS crystal
Mn 0.2473 0.2473 0.0000
Mn 0.7527 0.7527 0.0000
Mn 0.0000 0.5000 0.5000
Mo 0.5000 0.0000 0.5000
! Volume in Å³ per cell: 50.0
! DFT formation energy in eV/atom: 0.14

---

Record 15
! GGA-PBE Tc2Mo, optimized geometry; values from VASP
&SYSTEM
  ibrav = 0, nat = 12, ntyp = 2
/
ATOMIC_SPECIES
Mo 95.94 Mo.upf
Tc 98.00 Tc.upf
CELL_PARAMETERS angstrom
-2.1116 1.7482 -0.1455
-2.6677 -3.1974 0.2964
0.0791 1.5176 17.0854
ATOMIC_POSITIONS crystal
Mo 0.0000 0.2500 0.6209
Mo 0.0000 0.7500 0.3791
Mo 0.5000 0.2500 0.8791
Mo 0.5000 0.7500 0.1209
Tc 0.0000 0.2500 0.0354
Tc 0.0000 0.2500 0.1863
Tc 0.0000 0.7500 0.8137
Tc 0.0000 0.7500 0.9646
Tc 0.5000 0.2500 0.3137
Tc 0.5000 0.2500 0.4646
Tc 0.5000 0.7500 0.5354
Tc 0.5000 0.7500 0.6863
! Relative energy among the computed polymorphs in kJ per mole of atoms: 34.50
! Volume in Å³ per cell: 196.6
! DFT formation energy in eV/atom: 0.47

---

Record 16
! GGA-PBE DyMg10Cd2, optimized geometry; values from VASP
&SYSTEM
  ibrav = 0, nat = 13, ntyp = 3
/
ATOMIC_SPECIES
Dy 162.50 Dy.upf
Mg 24.30 Mg.upf
Cd 112.41 Cd.upf
CELL_PARAMETERS angstrom
-4.3993 -3.8875 0.9541
2.1283 -5.8453 4.5360
-4.2408 1.7783 6.2312
ATOMIC_POSITIONS crystal
Dy 0.0000 0.0000 0.0000
Mg 0.3494 0.6472 0.6541
Mg 0.6506 0.3528 0.3459
Mg 0.9965 0.3528 0.6541
Mg 0.0035 0.6472 0.3459
Mg 0.0000 0.0000 0.5000
Mg 0.5000 0.0000 0.5000
Mg 0.2883 0.2138 0.2095
Mg 0.7117 0.7862 0.7905
Mg 0.5021 0.7862 0.2095
Mg 0.4979 0.2138 0.7905
Cd 0.0000 0.5000 0.0000
Cd 0.5000 0.5000 0.0000
! Volume in Å³ per cell: 302.0
! DFT formation energy in eV/atom: -0.06

---

Record 17
! GGA-PBE U6Ag, optimized geometry; values from VASP
&SYSTEM
  ibrav = 0, nat = 7, ntyp = 2
/
ATOMIC_SPECIES
U 238.03 U.upf
Ag 107.87 Ag.upf
CELL_PARAMETERS angstrom
-5.4422 -0.1984 2.8809
3.5003 -4.7018 1.8968
2.8221 5.3186 1.3056
ATOMIC_POSITIONS crystal
U 0.2500 0.7500 0.5000
U 0.5000 0.7500 0.2500
U 0.2500 0.5000 0.7500
U 0.7500 0.2500 0.5000
U 0.5000 0.2500 0.7500
U 0.7500 0.5000 0.2500
Ag 0.0000 0.0000 0.0000
! Volume in Å³ per cell: 180.0
! DFT formation energy in eV/atom: 1.16

---

Record 18
! GGA-PBE CeTmInPb, optimized geometry; values from VASP
&SYSTEM
  ibrav = 0, nat = 4, ntyp = 4
/
ATOMIC_SPECIES
Ce 140.12 Ce.upf
Tm 168.93 Tm.upf
In 114.82 In.upf
Pb 207.20 Pb.upf
CELL_PARAMETERS angstrom
-3.5744 0.7298 -3.4133
-2.2958 -4.1715 1.5123
0.5969 4.0779 3.9030
ATOMIC_POSITIONS crystal
Ce 0.7500 0.2500 0.5000
Tm 0.2500 0.7500 0.5000
In 0.0000 0.0000 0.0000
Pb 0.5000 0.5000 0.0000
! Relative energy among the computed polymorphs in kJ per mole of atoms: 0.00
! Volume in Å³ per cell: 110.9
! DFT formation energy in eV/atom: -0.38

---

Record 19
! GGA-PBE BaSr2BeOs, optimized geometry; values from VASP
&SYSTEM
  ibrav = 0, nat = 5, ntyp = 4
/
ATOMIC_SPECIES
Sr 87.62 Sr.upf
Os 190.23 Os.upf
Ba 137.33 Ba.upf
Be 9.01 Be.upf
CELL_PARAMETERS angstrom
-3.0290 3.5892 -3.1171
-4.8488 -1.9025 2.5211
0.5390 3.9315 4.0033
ATOMIC_POSITIONS crystal
Sr 0.0000 0.0000 0.5000
Sr 0.5000 0.0000 0.0000
Os 0.5000 0.5000 0.5000
Ba 0.0000 0.5000 0.0000
Be 0.0000 0.0000 0.0000
! Volume in Å³ per cell: 183.9
! DFT formation energy in eV/atom: 1.24

---

Record 20
! GGA-PBE CsNa2Rh2, optimized geometry; values from VASP
&SYSTEM
  ibrav = 0, nat = 5, ntyp = 3
/
ATOMIC_SPECIES
Cs 132.91 Cs.upf
Na 22.99 Na.upf
Rh 102.91 Rh.upf
CELL_PARAMETERS angstrom
5.3505 0.0000 0.0000
0.0000 5.3505 0.0000
2.6752 2.6752 5.1000
ATOMIC_POSITIONS crystal
Cs 0.0000 0.0000 0.0000
Na 0.7500 0.2500 0.5000
Na 0.2500 0.7500 0.5000
Rh 0.3839 0.3839 0.2322
Rh 0.6161 0.6161 0.7678
! Volume in Å³ per cell: 146.0
! DFT formation energy in eV/atom: 0.65

---

Record 21
! GGA-PBE PrCuH, optimized geometry; values from VASP
&SYSTEM
  ibrav = 0, nat = 6, ntyp = 3
/
ATOMIC_SPECIES
Pr 140.91 Pr.upf
H 1.01 H.upf
Cu 63.55 Cu.upf
CELL_PARAMETERS angstrom
3.4498 0.0000 0.0000
-1.7249 4.1011 0.0000
0.0000 0.0000 7.4313
ATOMIC_POSITIONS crystal
Pr 0.0000 0.0000 0.5000
Pr 0.0000 0.0000 0.0000
H 0.4950 0.9901 0.7500
H 0.5050 0.0099 0.2500
Cu 0.7108 0.4217 0.2500
Cu 0.2892 0.5783 0.7500
! Relative energy among the computed polymorphs in kJ per mole of atoms: 0.00
! Volume in Å³ per cell: 105.1

---

Record 22
! GGA-PBE BaMg2MoPb, optimized geometry; values from VASP
&SYSTEM
  ibrav = 0, nat = 5, ntyp = 4
/
ATOMIC_SPECIES
Pb 207.20 Pb.upf
Mo 95.94 Mo.upf
Mg 24.30 Mg.upf
Ba 137.33 Ba.upf
CELL_PARAMETERS angstrom
5.5547 0.0000 0.0000
0.0000 5.5297 0.0000
0.0000 0.0000 5.5547
ATOMIC_POSITIONS crystal
Pb 0.0000 0.0000 0.0000
Mo 0.0000 0.5000 0.0000
Mg 0.0000 0.0000 0.5000
Mg 0.5000 0.0000 0.0000
Ba 0.5000 0.5000 0.5000
! Volume in Å³ per cell: 170.6
! DFT formation energy in eV/atom: 0.75

---

Record 23
! GGA-PBE Pm3Y4Ho4, optimized geometry; values from VASP
&SYSTEM
  ibrav = 0, nat = 11, ntyp = 3
/
ATOMIC_SPECIES
Pm 145.00 Pm.upf
Y 88.91 Y.upf
Ho 164.93 Ho.upf
CELL_PARAMETERS angstrom
-2.9945 3.6986 -1.9336
-8.8665 -2.6068 1.9218
-4.2241 4.0260 7.4197
ATOMIC_POSITIONS crystal
Pm 0.8828 0.1172 0.1172
Pm 0.1172 0.8828 0.8828
Pm 0.0000 0.5000 0.5000
Y 0.6783 0.1455 0.4980
Y 0.3217 0.5020 0.8545
Y 0.3217 0.8545 0.5020
Y 0.6783 0.4980 0.1455
Ho 0.7437 0.7563 0.7563
Ho 0.2563 0.2437 0.2437
Ho 0.5000 0.8412 0.1588
Ho 0.5000 0.1588 0.8412
! Relative energy among the computed polymorphs in kJ per mole of atoms: 29.95
! Volume in Å³ per cell: 384.7
! DFT formation energy in eV/atom: 0.37

---

Record 24
! GGA-PBE La5Pm5Pr2, optimized geometry; values from VASP
&SYSTEM
  ibrav = 0, nat = 12, ntyp = 3
/
ATOMIC_SPECIES
La 138.91 La.upf
Pm 145.00 Pm.upf
Pr 140.91 Pr.upf
CELL_PARAMETERS angstrom
5.9090 0.0000 0.0000
-2.9545 6.0428 -0.2554
0.0000 -3.4754 12.1513
ATOMIC_POSITIONS crystal
La 0.1911 0.3822 0.4647
La 0.7425 0.4850 0.7750
La 0.2575 0.5150 0.2250
La 0.8089 0.6178 0.5353
La 0.0000 0.0000 0.0000
Pm 0.5000 0.0000 0.5000
Pm 0.6895 0.3789 0.0310
Pm 0.5689 0.1379 0.2425
Pm 0.4311 0.8621 0.7575
Pm 0.3105 0.6211 0.9690
Pr 0.0860 0.1721 0.7056
Pr 0.9140 0.8279 0.2944
! Relative energy among the computed polymorphs in kJ per mole of atoms: 5.33
! Volume in Å³ per cell: 428.6
! DFT formation energy in eV/atom: 0.07

---

Record 25
! GGA-PBE Ba3Ir2N4, optimized geometry; values from VASP
&SYSTEM
  ibrav = 0, nat = 18, ntyp = 3
/
ATOMIC_SPECIES
Ba 137.33 Ba.upf
Ir 192.22 Ir.upf
N 14.01 N.upf
CELL_PARAMETERS angstrom
-1.3449 -1.7551 7.4278
6.4955 -3.7089 2.0286
2.5591 4.8786 1.9508
ATOMIC_POSITIONS crystal
Ba 0.0323 0.7268 0.0626
Ba 0.2732 0.9677 0.4374
Ba 0.9677 0.2732 0.9374
Ba 0.7268 0.0323 0.5626
Ba 0.4117 0.5883 0.7500
Ba 0.5883 0.4117 0.2500
Ir 0.8535 0.6206 0.5835
Ir 0.3794 0.1465 0.9165
Ir 0.1465 0.3794 0.4165
Ir 0.6206 0.8535 0.0835
N 0.0706 0.6952 0.5565
N 0.3048 0.9294 0.9435
N 0.9294 0.3048 0.4435
N 0.6952 0.0706 0.0565
N 0.7326 0.6288 0.9094
N 0.3712 0.2674 0.5906
N 0.2674 0.3712 0.0906
N 0.6288 0.7326 0.4094
! ΔE_f (raw) in eV per formula unit: -0.3
! Volume in Å³ per cell: 342.0